(1)
Entry from Alexandria: a geometry-optimized KMgAg2 structure (PBE-GGA).

a b c (Å): 3.5319 3.5319 8.0273
angles (deg): 90.00 90.00 90.00
Element x y z (fractional)
1 K 0.0000 0.0000 0.0000
2 Mg 0.0000 0.0000 0.5000
3 Ag 0.5000 0.5000 0.3182
4 Ag 0.5000 0.5000 0.6818

Energy of formation from the pure elements ... -4 meV/atom
Space-group type ... P4/mmm (123)
Mass density ... 4.63 g/cm³


(2)
Entry from Alexandria: a geometry-optimized RbLi2TcN structure (PBE-GGA).

a b c (Å): 5.0308 5.0308 4.4695
angles (deg): 90.00 90.00 90.00
Element x y z (fractional)
1 Rb 0.0000 0.0000 0.0000
2 Li 0.0000 0.5000 0.0000
3 Li 0.5000 0.0000 0.0000
4 Tc 0.5000 0.5000 0.5000
5 N 0.0000 0.0000 0.5000

Uncorrected formation energy ... 2.01 eV/atom
Space-group type ... P4/mmm (123)
Mass density ... 3.10 g/cm³


(3)
Entry from Alexandria: a geometry-optimized Pm2BP structure (PBE-GGA).

a b c (Å): 4.7756 4.7756 3.6023
angles (deg): 90.00 90.00 90.00
Element x y z (fractional)
1 Pm 0.0000 0.5000 0.0000
2 Pm 0.5000 0.0000 0.0000
3 B 0.0000 0.0000 0.5000
4 P 0.5000 0.5000 0.5000

Energy of formation from the pure elements ... -241 meV/atom
Relative energy among the computed polymorphs ... 108 kJ/mol of formula units
Space-group type ... P4/mmm (123)
Mass density ... 6.71 g/cm³


(4)
Entry from Alexandria: a geometry-optimized LaPbAu structure (PBE-GGA).

a b c (Å): 8.5087 4.9155 8.7566
angles (deg): 90.00 108.81 90.00
Element x y z (fractional)
1 La 0.0000 0.0000 0.0000
2 La 0.1649 0.0000 0.4945
3 La 0.5000 0.5000 0.0000
4 La 0.6649 0.5000 0.4945
5 Pb 0.0778 0.5000 0.7319
6 Pb 0.4118 0.0000 0.2351
7 Pb 0.5778 0.0000 0.7319
8 Pb 0.9118 0.5000 0.2351
9 Au 0.2605 0.5000 0.2812
10 Au 0.2887 0.0000 0.8654
11 Au 0.7605 0.0000 0.2812
12 Au 0.7887 0.5000 0.8654

Energy of formation from the pure elements ... -670 meV/atom
Space-group type ... Cm (8)
Mass density ... 10.41 g/cm³


(5)
Entry from Alexandria: a geometry-optimized FePOs2 structure (PBE-GGA).

a b c (Å): 2.7506 2.7506 23.7300
angles (deg): 90.00 90.00 120.00
Element x y z (fractional)
1 Fe 0.0000 0.0000 0.0000
2 Fe 0.3333 0.6667 0.6667
3 Fe 0.6667 0.3333 0.3333
4 P 0.0000 0.0000 0.2610
5 P 0.3333 0.6667 0.9277
6 P 0.6667 0.3333 0.5943
7 Os 0.0000 0.0000 0.5154
8 Os 0.0000 0.0000 0.7547
9 Os 0.3333 0.6667 0.1821
10 Os 0.3333 0.6667 0.4214
11 Os 0.6667 0.3333 0.0880
12 Os 0.6667 0.3333 0.8488

Energy of formation from the pure elements ... 88 meV/atom
Space-group type ... R3m (160)
Mass density ... 14.97 g/cm³


(6)
Entry from Alexandria: a geometry-optimized BaPbSe structure (PBE-GGA).

a b c (Å): 7.6048 7.6048 7.6048
angles (deg): 90.00 90.00 90.00
Element x y z (fractional)
1 Ba 0.0000 0.0000 0.0000
2 Ba 0.0000 0.5000 0.5000
3 Ba 0.5000 0.0000 0.5000
4 Ba 0.5000 0.5000 0.0000
5 Pb 0.0000 0.0000 0.5000
6 Pb 0.0000 0.5000 0.0000
7 Pb 0.5000 0.0000 0.0000
8 Pb 0.5000 0.5000 0.5000
9 Se 0.2500 0.2500 0.7500
10 Se 0.2500 0.7500 0.2500
11 Se 0.7500 0.2500 0.2500
12 Se 0.7500 0.7500 0.7500

Uncorrected formation energy ... -0.73 eV/atom
Relative energy among the computed polymorphs ... 23 kJ/mol of formula units
Space-group type ... F-43m (216)
Mass density ... 6.40 g/cm³


(7)
Entry from Alexandria: a geometry-optimized TlCuO2 structure (PBE-GGA).

a b c (Å): 3.0716 3.0716 19.9421
angles (deg): 90.00 90.00 120.00
Element x y z (fractional)
1 Tl 0.0000 0.0000 0.0000
2 Tl 0.3333 0.6667 0.6667
3 Tl 0.6667 0.3333 0.3333
4 Cu 0.0000 0.0000 0.5000
5 Cu 0.3333 0.6667 0.1667
6 Cu 0.6667 0.3333 0.8333
7 O 0.0000 0.0000 0.1192
8 O 0.0000 0.0000 0.8808
9 O 0.3333 0.6667 0.5475
10 O 0.3333 0.6667 0.7859
11 O 0.6667 0.3333 0.2141
12 O 0.6667 0.3333 0.4525

Uncorrected formation energy ... -0.29 eV/atom
Relative energy among the computed polymorphs ... 116 kJ/mol of formula units
Space-group type ... R-3m (166)
Mass density ... 9.17 g/cm³


(8)
Entry from Alexandria: a geometry-optimized Li3RuBr structure (PBE-GGA).

a b c (Å): 4.9977 4.9977 4.9977
angles (deg): 90.00 90.00 90.00
Element x y z (fractional)
1 Li 0.0000 0.0000 0.5000
2 Li 0.0000 0.5000 0.0000
3 Li 0.5000 0.0000 0.0000
4 Ru 0.0000 0.0000 0.0000
5 Br 0.5000 0.5000 0.5000

Uncorrected formation energy ... 0.44 eV/atom
Relative energy among the computed polymorphs ... 60 kJ/mol of formula units
Space-group type ... Pm-3m (221)
Mass density ... 2.68 g/cm³


(9)
Entry from Alexandria: a geometry-optimized CaSi structure (PBE-GGA).

a b c (Å): 4.0711 4.3360 5.4337
angles (deg): 90.00 90.00 90.00
Element x y z (fractional)
1 Ca 0.2500 0.0000 0.2436
2 Ca 0.7500 0.0000 0.7564
3 Si 0.2500 0.5000 0.6417
4 Si 0.7500 0.5000 0.3583

Uncorrected formation energy ... -0.32 eV/atom
Space-group type ... Pmma (51)
Mass density ... 2.36 g/cm³


(10)
Entry from Alexandria: a geometry-optimized Na2Sb2Au15 structure (PBE-GGA).

a b c (Å): 7.3730 7.3730 7.3730
angles (deg): 84.42 84.42 84.42
Element x y z (fractional)
1 Na 0.1352 0.1352 0.1352
2 Na 0.8648 0.8648 0.8648
3 Sb 0.3963 0.3963 0.3963
4 Sb 0.6037 0.6037 0.6037
5 Au 0.0000 0.5000 0.5000
6 Au 0.1551 0.5000 0.8449
7 Au 0.1551 0.8449 0.5000
8 Au 0.1683 0.1683 0.6769
9 Au 0.1683 0.6769 0.1683
10 Au 0.3231 0.8317 0.8317
11 Au 0.5000 0.0000 0.5000
12 Au 0.5000 0.1551 0.8449
13 Au 0.5000 0.5000 0.0000
14 Au 0.5000 0.8449 0.1551
15 Au 0.6769 0.1683 0.1683
16 Au 0.8317 0.3231 0.8317
17 Au 0.8317 0.8317 0.3231
18 Au 0.8449 0.1551 0.5000
19 Au 0.8449 0.5000 0.1551

Uncorrected formation energy ... -0.10 eV/atom
Space-group type ... R-3m (166)
Mass density ... 13.62 g/cm³


(11)
Entry from Alexandria: a geometry-optimized Fe2Ni2Pt structure (PBE-GGA).

a b c (Å): 4.3794 6.3472 4.9211
angles (deg): 90.00 90.00 90.00
Element x y z (fractional)
1 Fe 0.0000 0.0000 0.2456
2 Fe 0.0000 0.0000 0.7544
3 Fe 0.5000 0.5000 0.2456
4 Fe 0.5000 0.5000 0.7544
5 Ni 0.0000 0.3245 0.0000
6 Ni 0.0000 0.6755 0.0000
7 Ni 0.5000 0.1755 0.0000
8 Ni 0.5000 0.8245 0.0000
9 Pt 0.0000 0.5000 0.5000
10 Pt 0.5000 0.0000 0.5000

Energy of formation from the pure elements ... 229 meV/atom
Relative energy among the computed polymorphs ... 134 kJ/mol of formula units
Space-group type ... Cmmm (65)
Mass density ... 10.30 g/cm³


(12)
Entry from Alexandria: a geometry-optimized CaIn2Pb2 structure (PBE-GGA).

a b c (Å): 8.7523 8.7523 3.9825
angles (deg): 90.00 90.00 90.00
Element x y z (fractional)
1 Ca 0.0000 0.0000 0.0000
2 Ca 0.5000 0.5000 0.0000
3 In 0.1575 0.3425 0.5000
4 In 0.3425 0.8425 0.5000
5 In 0.6575 0.1575 0.5000
6 In 0.8425 0.6575 0.5000
7 Pb 0.1393 0.6393 0.0000
8 Pb 0.3607 0.1393 0.0000
9 Pb 0.6393 0.8607 0.0000
10 Pb 0.8607 0.3607 0.0000

Energy of formation from the pure elements ... -106 meV/atom
Relative energy among the computed polymorphs ... 56 kJ/mol of formula units
Space-group type ... P4/mbm (127)
Mass density ... 7.45 g/cm³


The evaluated magnetic moment for the records listed, in turn: 0.00; 4.17; 0.00; 0.00; 1.46; 0.00; 0.00; 2.00; 0.00; 0.00; 7.46; 0.00 μB per formula unit.